[1]
La3EuRh (GGA-PBE, relaxed); space group = Pm-3m; ΔE_f = -0.271 eV/atom
1.0
-4.471 -0.182 3.567
-1.509 -5.084 -2.151
3.238 -2.621 3.924
La Eu Rh
3 1 1
Direct
0.000 0.000 0.500
0.000 0.500 0.000
0.500 0.000 0.000
0.500 0.500 0.500
0.000 0.000 0.000

[2]
NdTi2S4 (GGA-PBE, relaxed); space group = Cmcm; uncorrected formation energy = -1.551 eV/atom
1.0
3.739 0.000 0.000
-1.869 5.836 0.000
0.000 0.000 12.324
S Ti Nd
8 4 2
Direct
0.765 0.529 0.109
0.235 0.471 0.609
0.500 0.000 0.500
0.235 0.471 0.891
0.500 0.000 0.000
0.765 0.529 0.391
0.056 0.112 0.250
0.944 0.888 0.750
0.115 0.231 0.441
0.115 0.231 0.059
0.885 0.769 0.941
0.885 0.769 0.559
0.373 0.747 0.250
0.627 0.253 0.750

[3]
HfIn2Hg (GGA-PBE, relaxed); space group = R3m; ΔE_f = 0.253 eV/atom
1.0
-3.553 -0.856 -2.808
-3.849 -1.909 1.669
-4.543 4.196 0.686
Hg In Hf
1 2 1
Direct
0.496 0.496 0.513
0.074 0.074 0.777
0.256 0.256 0.231
0.674 0.674 0.978

[4]
PaZn2 (GGA-PBE, relaxed); space group = I4/mmm; ΔE_f = -0.011 eV/atom
1.0
-0.082 2.190 -2.048
-2.837 0.605 0.761
3.462 2.649 4.891
Pa Zn
1 2
Direct
0.000 0.000 0.000
0.685 0.685 0.370
0.315 0.315 0.630

[5]
La2YTh (GGA-PBE, relaxed); energy above the most stable polymorph in this dataset = 19.8 meV per atom; space group = P4/mmm; ΔE_f = 0.044 eV/atom
1.0
3.637 0.000 0.000
0.000 3.637 0.000
0.000 0.000 10.412
Th La Y
1 2 1
Direct
0.500 0.500 0.000
0.000 0.000 0.761
0.000 0.000 0.239
0.500 0.500 0.500

[6]
Sc2NiPb (GGA-PBE, relaxed); space group = P2/m; ΔE_f = -0.397 eV/atom
1.0
3.292 0.000 0.000
0.000 3.289 0.005
0.000 3.262 7.543
Sc Ni Pb
2 1 1
Direct
0.000 0.550 0.450
0.000 0.950 0.050
0.500 0.250 0.250
0.500 0.750 0.750